Ca2LaAg at its PBEsol-relaxed geometry, computed with meta-GGA SCAN.

a b c (Å): 3.7106 3.7106 9.3068
angles (deg): 90.00 90.00 90.00
Atoms (fractional coordinates):
1 Ag 0.5000 0.5000 0.7543
2 Ca 0.0000 0.0000 0.9401
3 Ca 0.5000 0.5000 0.2494
4 La 0.0000 0.0000 0.5564

**Space-group type**: P4mm
**Offset from the most stable computed form**: 0 meV/atom
**Fermi-level density of states**: 4.234 states/eV/cell
**DFT formation energy**: -0.134 eV per atom
**Calculated total energy**: -23.5841 eV per atom

Ca2LaAg at its PBEsol-relaxed geometry, computed with meta-GGA SCAN.

a b c (Å): 3.7496 3.7496 10.8133
angles (deg): 80.02 80.02 60.00
Atoms (fractional coordinates):
1 Ca 0.7335 0.7335 0.7995
2 Ag 0.0000 0.0000 0.0000
3 La 0.5000 0.5000 0.5000
4 Ca 0.2665 0.2665 0.2005

**Space-group type**: R-3m
**Offset from the most stable computed form**: 117 meV/atom
**Fermi-level density of states**: 3.387 states/eV/cell
**DFT formation energy**: -0.017 eV per atom
**Calculated total energy**: -23.4667 eV per atom

Ca2LaAg at its PBEsol-relaxed geometry, computed with meta-GGA SCAN.

a b c (Å): 3.6267 3.6267 9.2845
angles (deg): 90.00 90.00 90.00
Atoms (fractional coordinates):
1 Ca 0.0000 0.0000 0.3069
2 Ca 0.0000 0.0000 0.6931
3 Ag 0.5000 0.5000 0.5000
4 La 0.5000 0.5000 0.0000

**Space-group type**: P4/mmm
**Offset from the most stable computed form**: 33 meV/atom
**Fermi-level density of states**: 4.717 states/eV/cell
**DFT formation energy**: -0.102 eV per atom
**Calculated total energy**: -23.5513 eV per atom

Ca2LaAg at its PBEsol-relaxed geometry, computed with meta-GGA SCAN.

a b c (Å): 3.7975 3.7975 10.9042
angles (deg): 79.97 79.97 60.00
Atoms (fractional coordinates):
1 La 0.5154 0.5154 0.4538
2 Ca 0.9830 0.9830 0.0511
3 Ca 0.7508 0.7508 0.7477
4 Ag 0.2509 0.2509 0.2474

**Space-group type**: R3m
**Offset from the most stable computed form**: 113 meV/atom
**Fermi-level density of states**: 4.029 states/eV/cell
**DFT formation energy**: -0.022 eV per atom
**Calculated total energy**: -23.4716 eV per atom

Ca2LaAg2 at its PBEsol-relaxed geometry, computed with meta-GGA SCAN.

a b c (Å): 4.4314 7.9402 7.9402
angles (deg): 90.00 90.00 90.00
Atoms (fractional coordinates):
1 Ag 0.0000 0.6252 0.1252
2 La 0.0000 0.5000 0.5000
3 Ag 0.0000 0.8748 0.6252
4 Ca 0.5000 0.8349 0.3349
5 Ca 0.5000 0.1651 0.6651
6 Ag 0.0000 0.1252 0.3748
7 Ca 0.5000 0.3349 0.1651
8 Ca 0.5000 0.6651 0.8349
9 La 0.0000 0.0000 0.0000
10 Ag 0.0000 0.3748 0.8748

**Space-group type**: P4/mbm
**Fermi-level density of states**: 7.295 states/eV/cell
**DFT formation energy**: -0.265 eV per atom
**Calculated total energy**: -25.2978 eV per atom

CaLa4Ag at its PBEsol-relaxed geometry, computed with meta-GGA SCAN.

a b c (Å): 6.5202 6.5202 6.5202
angles (deg): 60.00 60.00 60.00
Atoms (fractional coordinates):
1 La 0.3772 0.3772 0.3772
2 Ca 0.0000 0.0000 0.0000
3 Ag 0.7500 0.7500 0.7500
4 La 0.3772 0.8683 0.3772
5 La 0.8683 0.3772 0.3772
6 La 0.3772 0.3772 0.8683

**Space-group type**: F-43m
**Fermi-level density of states**: 7.388 states/eV/cell
**DFT formation energy**: 0.333 eV per atom
**Calculated total energy**: -35.2422 eV per atom

LiCaAg3 at its PBEsol-relaxed geometry, computed with meta-GGA SCAN.

a b c (Å): 4.6370 4.6370 4.6370
angles (deg): 90.00 90.00 90.00
Atoms (fractional coordinates):
1 Ag 0.5000 0.0000 0.0000
2 Ca 0.5000 0.5000 0.5000
3 Ag 0.0000 0.5000 0.0000
4 Ag 0.0000 0.0000 0.5000
5 Li 0.0000 0.0000 0.0000

**Space-group type**: Pm-3m
**Fermi-level density of states**: 1.586 states/eV/cell
**DFT formation energy**: -0.010 eV per atom
**Calculated total energy**: -21.2405 eV per atom

LiCa2Ag at its PBEsol-relaxed geometry, computed with meta-GGA SCAN.

a b c (Å): 3.6873 5.2201 6.4417
angles (deg): 113.90 106.63 90.00
Atoms (fractional coordinates):
1 Ca 0.7544 0.2544 0.5089
2 Ca 0.9632 0.9632 0.9265
3 Ag 0.2305 0.7305 0.4610
4 Li 0.5518 0.5518 0.1036

**Space-group type**: Imm2
**Offset from the most stable computed form**: 53 meV/atom
**Fermi-level density of states**: 2.570 states/eV/cell
**DFT formation energy**: -0.132 eV per atom
**Calculated total energy**: -13.4029 eV per atom

LiCa2Ag at its PBEsol-relaxed geometry, computed with meta-GGA SCAN.

a b c (Å): 4.3931 4.3931 7.4781
angles (deg): 72.92 72.92 60.00
Atoms (fractional coordinates):
1 Li 0.5418 0.5418 0.3746
2 Ag 0.2078 0.2078 0.3767
3 Ca 0.7815 0.7815 0.6555
4 Ca 0.9689 0.9689 0.0932

**Space-group type**: R3m
**Offset from the most stable computed form**: 42 meV/atom
**Fermi-level density of states**: 2.174 states/eV/cell
**DFT formation energy**: -0.142 eV per atom
**Calculated total energy**: -13.4134 eV per atom

Li2CaAg at its PBEsol-relaxed geometry, computed with meta-GGA SCAN.

a b c (Å): 3.5703 3.5703 6.9328
angles (deg): 90.00 90.00 90.00
Atoms (fractional coordinates):
1 Ag 0.0000 0.0000 0.5466
2 Li 0.5000 0.5000 0.7307
3 Li 0.0000 0.0000 0.9398
4 Ca 0.5000 0.5000 0.2829

**Space-group type**: P4mm
**Offset from the most stable computed form**: 22 meV/atom
**Fermi-level density of states**: 2.269 states/eV/cell
**DFT formation energy**: -0.137 eV per atom
**Calculated total energy**: -11.5897 eV per atom

LiCaAg4 at its PBEsol-relaxed geometry, computed with meta-GGA SCAN.

a b c (Å): 5.5196 5.5196 5.5196
angles (deg): 60.00 60.00 60.00
Atoms (fractional coordinates):
1 Ag 0.8762 0.3746 0.3746
2 Ag 0.3746 0.8762 0.3746
3 Ca 0.7500 0.7500 0.7500
4 Ag 0.3746 0.3746 0.8762
5 Li 0.0000 0.0000 0.0000
6 Ag 0.3746 0.3746 0.3746

**Space-group type**: F-43m
**Fermi-level density of states**: 2.485 states/eV/cell
**DFT formation energy**: -0.208 eV per atom
**Calculated total energy**: -23.1286 eV per atom

Li2CaAg2 at its PBEsol-relaxed geometry, computed with meta-GGA SCAN.

a b c (Å): 4.6286 4.6286 5.7556
angles (deg): 113.71 113.71 90.00
Atoms (fractional coordinates):
1 Li 0.3630 0.3630 0.7260
2 Ag 0.7500 0.2500 0.5000
3 Ag 0.2500 0.7500 0.5000
4 Ca 0.0000 0.0000 0.0000
5 Li 0.6370 0.6370 0.2740

**Space-group type**: I4/mmm
**Offset from the most stable computed form**: 0 meV/atom
**Fermi-level density of states**: 1.923 states/eV/cell
**DFT formation energy**: -0.159 eV per atom
**Calculated total energy**: -15.5949 eV per atom